Arrangement i

This record from OQMD via LeMat-Bulk describes a geometry-optimized ZrCoGePt structure. The functional is PBE-GGA.

Cell and atoms, written as POSCAR:
```
ZrCoGePt
1.0
0.0000 3.1858 3.1858
3.1858 0.0000 3.1858
3.1858 3.1858 0.0000
Zr Co Ge Pt
1 1 1 1
Direct
0.0000 0.0000 0.0000
0.5000 0.5000 0.5000
0.2500 0.2500 0.2500
0.7500 0.7500 0.7500
```


Arrangement ii

This record from OQMD via LeMat-Bulk describes a geometry-optimized ZrCoGePt structure. The functional is PBE-GGA.

Cell and atoms, written as POSCAR:
```
ZrCoGePt
1.0
0.0000 3.1736 3.1736
3.1736 0.0000 3.1736
3.1736 3.1736 0.0000
Zr Co Ge Pt
1 1 1 1
Direct
0.0000 0.0000 0.0000
0.7500 0.7500 0.7500
0.5000 0.5000 0.5000
0.2500 0.2500 0.2500
```


Quick one: least stable of them? arrangement i